Version w
! TeAsPd2 | Alexandria via LeMat-Bulk | PBE-GGA | relaxed; values from VASP
! symmetry	I-42d, No. 122
! magnetization	0.0	μB per formula unit
! N(E_F)	3.702	states/eV/cell
&SYSTEM
  ibrav = 0, nat = 8, ntyp = 3
/
ATOMIC_SPECIES
Pd 106.42 Pd.upf
As 74.92 As.upf
Te 127.60 Te.upf
CELL_PARAMETERS angstrom
4.721 0.000 0.000
0.000 4.721 0.000
2.361 2.361 7.782
ATOMIC_POSITIONS crystal
Pd 0.188 0.625 0.250
Pd 0.375 0.438 0.750
Pd 0.562 0.125 0.250
Pd 0.875 0.812 0.750
As 0.250 0.750 0.500
As 0.500 0.500 0.000
Te 0.000 0.000 0.000
Te 0.750 0.250 0.500

=====

Version x
! TeAsPd2 | Alexandria via LeMat-Bulk | PBE-GGA | relaxed; values from VASP
! symmetry	P2_1/c, No. 14
! magnetization	0.0	μB per formula unit
! N(E_F)	6.967	states/eV/cell
&SYSTEM
  ibrav = 0, nat = 16, ntyp = 3
/
ATOMIC_SPECIES
Pd 106.42 Pd.upf
As 74.92 As.upf
Te 127.60 Te.upf
CELL_PARAMETERS angstrom
5.859 0.000 -0.773
0.000 6.562 0.000
0.037 0.000 8.316
ATOMIC_POSITIONS crystal
Pd 0.511 0.303 0.611
Pd 0.489 0.697 0.389
Pd 0.011 0.197 0.611
Pd 0.072 0.786 0.818
Pd 0.428 0.286 0.182
Pd 0.989 0.803 0.389
Pd 0.572 0.714 0.818
Pd 0.928 0.214 0.182
As 0.825 0.578 0.604
As 0.175 0.422 0.396
As 0.675 0.078 0.396
As 0.325 0.922 0.604
Te 0.729 0.582 0.132
Te 0.229 0.918 0.132
Te 0.271 0.418 0.868
Te 0.771 0.082 0.868

=====

Version y
! TeAsPd2 | Alexandria via LeMat-Bulk | PBE-GGA | relaxed; values from VASP
! symmetry	R-3m, No. 166
! magnetization	0.0	μB per formula unit
! N(E_F)	2.100	states/eV/cell
&SYSTEM
  ibrav = 0, nat = 4, ntyp = 3
/
ATOMIC_SPECIES
Pd 106.42 Pd.upf
Te 127.60 Te.upf
As 74.92 As.upf
CELL_PARAMETERS angstrom
3.904 0.000 0.000
1.952 3.381 0.000
1.952 1.127 5.994
ATOMIC_POSITIONS crystal
Pd 0.265 0.265 0.204
Pd 0.735 0.735 0.796
Te 0.500 0.500 0.500
As 0.000 0.000 0.000

=====

Most stable: version x. Least stable: version w.

=====

Version w
! TeAs2Pd2 | Alexandria via LeMat-Bulk | PBE-GGA | relaxed; values from VASP
! symmetry	P4/mbm, No. 127
! magnetization	0.0	μB per formula unit
! N(E_F)	5.528	states/eV/cell
&SYSTEM
  ibrav = 0, nat = 10, ntyp = 3
/
ATOMIC_SPECIES
As 74.92 As.upf
Pd 106.42 Pd.upf
Te 127.60 Te.upf
CELL_PARAMETERS angstrom
-7.146 3.681 -0.171
-0.699 -0.988 7.949
1.355 2.651 0.448
ATOMIC_POSITIONS crystal
As 0.155 0.345 0.000
As 0.655 0.155 0.000
As 0.845 0.655 0.000
As 0.345 0.845 0.000
Pd 0.124 0.624 0.500
Pd 0.876 0.376 0.500
Pd 0.376 0.124 0.500
Pd 0.624 0.876 0.500
Te 0.500 0.500 0.000
Te 0.000 0.000 0.000

=====

Version x
! TeAs2Pd2 | Alexandria via LeMat-Bulk | PBE-GGA | relaxed; values from VASP
! symmetry	I4/mmm, No. 139
! magnetization	0.0	μB per formula unit
! N(E_F)	3.511	states/eV/cell
&SYSTEM
  ibrav = 0, nat = 5, ntyp = 3
/
ATOMIC_SPECIES
As 74.92 As.upf
Pd 106.42 Pd.upf
Te 127.60 Te.upf
CELL_PARAMETERS angstrom
-0.669 -1.283 -4.068
-2.423 -3.274 1.431
-5.960 0.871 -1.586
ATOMIC_POSITIONS crystal
As 0.377 0.377 0.246
As 0.623 0.623 0.754
Pd 0.750 0.250 0.500
Pd 0.250 0.750 0.500
Te 0.000 0.000 0.000

=====

Most stable: version x. Least stable: version w.

=====

Version w
! TeAs2Pd2 | Alexandria via LeMat-Bulk | PBE-GGA | relaxed; values from VASP
! symmetry	P4/mbm, No. 127
! magnetization	0.0	μB per formula unit
! N(E_F)	5.093	states/eV/cell
&SYSTEM
  ibrav = 0, nat = 10, ntyp = 3
/
ATOMIC_SPECIES
As 74.92 As.upf
Te 127.60 Te.upf
Pd 106.42 Pd.upf
CELL_PARAMETERS angstrom
-6.730 -3.607 1.504
0.944 -4.406 -6.345
1.558 -2.179 1.745
ATOMIC_POSITIONS crystal
As 0.863 0.363 0.500
As 0.363 0.137 0.500
As 0.637 0.863 0.500
As 0.137 0.637 0.500
Te 0.000 0.000 0.000
Te 0.500 0.500 0.000
Pd 0.133 0.367 0.000
Pd 0.367 0.867 0.000
Pd 0.633 0.133 0.000
Pd 0.867 0.633 0.000

=====

Version x
! TeAs2Pd2 | Alexandria via LeMat-Bulk | PBE-GGA | relaxed; values from VASP
! symmetry	I4/mmm, No. 139
! magnetization	0.0	μB per formula unit
! N(E_F)	1.565	states/eV/cell
&SYSTEM
  ibrav = 0, nat = 5, ntyp = 3
/
ATOMIC_SPECIES
As 74.92 As.upf
Pd 106.42 Pd.upf
Te 127.60 Te.upf
CELL_PARAMETERS angstrom
4.070 0.000 0.000
0.000 4.070 0.000
2.035 2.035 6.011
ATOMIC_POSITIONS crystal
As 0.750 0.250 0.500
As 0.250 0.750 0.500
Pd 0.386 0.386 0.228
Pd 0.614 0.614 0.772
Te 0.000 0.000 0.000

=====

Most stable: version x. Least stable: version w.